A plane-wave DFT calculation with meta-GGA SCAN was carried out for a PBEsol-optimized structure of LaMgSc2.

Calculated values
crystal system: tetragonal
SG: P4/mmm
energy of formation from the pure elements: 0.03 eV per atom

abc: 3.543 3.543 8.149
angles: 90.00 90.00 90.00
Positions (direct):
La  0.000  0.000  0.000
Mg  0.000  0.000  0.500
Sc  0.500  0.500  0.280
Sc  0.500  0.500  0.720

A plane-wave DFT calculation with meta-GGA SCAN was carried out for a PBEsol-optimized structure of BaTmO3.

Calculated values
crystal system: cubic
raw formation energy: -15.30 eV per formula unit
SG: Pm-3m

abc: 4.316 4.316 4.316
angles: 90.00 90.00 90.00
Positions (direct):
Ba  0.000  0.000  0.000
Tm  0.500  0.500  0.500
O  0.000  0.500  0.500
O  0.500  0.000  0.500
O  0.500  0.500  0.000

A plane-wave DFT calculation with meta-GGA SCAN was carried out for a PBEsol-optimized structure of Co3Ni3Te2O16.

Calculated values
crystal system: monoclinic
raw formation energy: -27.14 eV per formula unit
SG: Cm

abc: 5.613 5.613 8.997
angles: 90.15 90.15 60.02
Positions (direct):
Co  0.000  0.000  0.000
Co  0.169  0.662  0.499
Co  0.662  0.169  0.499
Ni  0.495  0.999  0.999
Ni  0.663  0.663  0.497
Ni  0.999  0.495  0.999
Te  0.164  0.164  0.277
Te  0.497  0.497  0.775
O  0.147  0.674  0.880
O  0.163  0.163  0.899
O  0.311  0.859  0.121
O  0.316  0.316  0.124
O  0.342  0.801  0.617
O  0.346  0.346  0.616
O  0.496  0.496  0.395
O  0.515  0.989  0.379
O  0.670  0.670  0.881
O  0.674  0.147  0.880
O  0.801  0.342  0.617
O  0.832  0.832  0.096
O  0.833  0.833  0.596
O  0.859  0.311  0.121
O  0.988  0.988  0.380
O  0.989  0.515  0.379

A plane-wave DFT calculation with meta-GGA SCAN was carried out for a PBEsol-optimized structure of CdCoPS2.

Calculated values
crystal system: tetragonal
raw formation energy: 6.61 eV per formula unit
SG: P4/mmm

abc: 4.872 4.872 4.791
angles: 90.00 90.00 90.00
Positions (direct):
Cd  0.000  0.000  0.000
Co  0.500  0.500  0.500
P  0.000  0.000  0.500
S  0.000  0.500  0.000
S  0.500  0.000  0.000

A plane-wave DFT calculation with meta-GGA SCAN was carried out for a PBEsol-optimized structure of Fe2SiBr.

Calculated values
crystal system: tetragonal
raw formation energy: 2.94 eV per formula unit
SG: P4/mmm
excess energy over the best structure of this formula in the dataset: 0.598 eV/atom

abc: 4.143 4.143 2.862
angles: 90.00 90.00 90.00
Positions (direct):
Fe  0.000  0.500  0.000
Fe  0.500  0.000  0.000
Si  0.000  0.000  0.500
Br  0.500  0.500  0.500

A plane-wave DFT calculation with meta-GGA SCAN was carried out for a PBEsol-optimized structure of CrSeBr.

Calculated values
crystal system: trigonal
raw formation energy: -2.97 eV per formula unit
SG: P3m1

abc: 3.562 3.562 6.246
angles: 90.00 90.00 120.00
Positions (direct):
Cr  0.000  0.000  0.000
Se  0.333  0.667  0.788
Br  0.667  0.333  0.253

A plane-wave DFT calculation with meta-GGA SCAN was carried out for a PBEsol-optimized structure of LiTc2Ru.

Calculated values
crystal system: orthorhombic
SG: Cmmm
excess energy over the best structure of this formula in the dataset: 0.227 eV/atom
energy of formation from the pure elements: 0.33 eV per atom

abc: 2.607 2.607 9.175
angles: 90.00 90.00 115.48
Positions (direct):
Li  0.000  0.000  0.000
Tc  0.500  0.500  0.259
Tc  0.500  0.500  0.741
Ru  0.000  0.000  0.500

A plane-wave DFT calculation with meta-GGA SCAN was carried out for a PBEsol-optimized structure of Mg2SbPb.

Calculated values
crystal system: tetragonal
raw formation energy: -0.59 eV per formula unit
SG: I-4m2
excess energy over the best structure of this formula in the dataset: 0.023 eV/atom

abc: 6.150 6.150 6.150
angles: 139.14 139.14 59.16
Positions (direct):
Mg  0.000  0.000  0.000
Mg  0.750  0.250  0.500
Sb  0.250  0.750  0.500
Pb  0.500  0.500  0.000

A plane-wave DFT calculation with meta-GGA SCAN was carried out for a PBEsol-optimized structure of TaTlHg2.

Calculated values
crystal system: orthorhombic
SG: Pmmm
energy of formation from the pure elements: 0.48 eV per atom

abc: 3.005 5.254 5.316
angles: 90.00 90.00 90.00
Positions (direct):
Ta  0.000  0.000  0.000
Tl  0.500  0.500  0.000
Hg  0.000  0.500  0.500
Hg  0.500  0.000  0.500

A plane-wave DFT calculation with meta-GGA SCAN was carried out for a PBEsol-optimized structure of Ba2CaTc.

Calculated values
crystal system: orthorhombic
SG: Imm2
energy of formation from the pure elements: 0.68 eV per atom

abc: 7.406 7.406 7.406
angles: 151.57 132.55 56.24
Positions (direct):
Ba  0.000  0.000  0.000
Ba  0.683  0.183  0.500
Ca  0.330  0.830  0.500
Tc  0.506  0.506  0.000

A plane-wave DFT calculation with meta-GGA SCAN was carried out for a PBEsol-optimized structure of KIrCF2.

Calculated values
crystal system: tetragonal
raw formation energy: 7.29 eV per formula unit
SG: P4/mmm

abc: 3.930 3.930 5.373
angles: 90.00 90.00 90.00
Positions (direct):
K  0.000  0.000  0.000
Ir  0.500  0.500  0.000
C  0.000  0.000  0.500
F  0.000  0.500  0.500
F  0.500  0.000  0.500